(1)
The following is a GGA-PBE calculation of a relaxed structure of Ac3In11, from Alexandria via LeMat-Bulk.

Calculated values
Symmetry   Immm (71)
N(E_F)   5.5 states/eV/f.u.

a b c (Å): 4.823 9.628 9.628
angles (deg): 74.18 75.50 75.50
Fractional positions:
Ac: 0.000 0.000 0.000
Ac: 0.319 0.681 0.681
Ac: 0.681 0.319 0.319
In: 0.661 0.714 0.964
In: 0.855 0.421 0.870
In: 0.661 0.964 0.714
In: 0.500 0.292 0.708
In: 0.145 0.130 0.579
In: 0.000 0.500 0.500
In: 0.855 0.870 0.421
In: 0.500 0.708 0.292
In: 0.339 0.036 0.286
In: 0.145 0.579 0.130
In: 0.339 0.286 0.036

---

(2)
The following is a GGA-PBE calculation of a relaxed structure of Ac5In, from Alexandria via LeMat-Bulk.

Calculated values
Symmetry   Cmmm (65)
Energy above the most stable polymorph in this dataset   15 meV/atom
N(E_F)   7.6 states/eV/f.u.

a b c (Å): 5.401 5.406 8.787
angles (deg): 107.92 90.00 90.00
Fractional positions:
Ac: 0.500 0.839 0.679
Ac: 0.000 0.663 0.326
Ac: 0.500 0.500 0.000
Ac: 0.000 0.337 0.674
Ac: 0.500 0.161 0.321
In: 0.000 0.000 0.000

---

(3)
The following is a GGA-PBE calculation of a relaxed structure of Ac2In, from Alexandria via LeMat-Bulk.

Calculated values
Symmetry   Fd-3m (227)
Energy above the most stable polymorph in this dataset   559 meV/atom
N(E_F)   3.4 states/eV/f.u.

a b c (Å): 7.040 7.040 7.040
angles (deg): 60.00 60.00 60.00
Fractional positions:
Ac: 0.125 0.625 0.625
Ac: 0.625 0.125 0.625
Ac: 0.625 0.625 0.625
Ac: 0.625 0.625 0.125
In: 0.000 0.000 0.000
In: 0.250 0.250 0.250

---

(4)
The following is a GGA-PBE calculation of a relaxed structure of Ac5In3, from Alexandria via LeMat-Bulk.

Calculated values
Symmetry   P6_3/mcm (193)
Energy above the most stable polymorph in this dataset   16 meV/atom
N(E_F)   9.8 states/eV/f.u.

a b c (Å): 7.372 9.863 9.863
angles (deg): 120.00 90.00 90.00
Fractional positions:
Ac: 0.000 0.667 0.333
Ac: 0.500 0.333 0.667
Ac: 0.000 0.333 0.667
Ac: 0.500 0.667 0.333
Ac: 0.750 0.758 0.758
Ac: 0.250 0.242 0.242
Ac: 0.750 0.000 0.242
Ac: 0.750 0.242 0.000
Ac: 0.250 0.758 0.000
Ac: 0.250 0.000 0.758
In: 0.750 0.401 0.401
In: 0.250 0.599 0.599
In: 0.750 0.000 0.599
In: 0.750 0.599 0.000
In: 0.250 0.401 0.000
In: 0.250 0.000 0.401

---

(5)
The following is a GGA-PBE calculation of a relaxed structure of Ac4In3, from Alexandria via LeMat-Bulk.

Calculated values
Symmetry   R-3m (166)
N(E_F)   8.6 states/eV/f.u.

a b c (Å): 5.740 5.740 9.884
angles (deg): 73.12 73.12 60.00
Fractional positions:
Ac: 0.621 0.621 0.138
Ac: 0.873 0.873 0.382
Ac: 0.127 0.127 0.618
Ac: 0.379 0.379 0.862
In: 0.250 0.250 0.249
In: 0.750 0.750 0.751
In: 0.000 0.000 0.000

---

(6)
The following is a GGA-PBE calculation of a relaxed structure of Ac7In3, from Alexandria via LeMat-Bulk.

Calculated values
Symmetry   P6_3mc (186)
N(E_F)   15.6 states/eV/f.u.

a b c (Å): 7.009 11.532 11.532
angles (deg): 120.00 90.00 90.00
Fractional positions:
Ac: 0.109 0.667 0.333
Ac: 0.609 0.333 0.667
Ac: 0.901 0.877 0.753
Ac: 0.901 0.877 0.123
Ac: 0.901 0.247 0.123
Ac: 0.401 0.123 0.247
Ac: 0.401 0.123 0.877
Ac: 0.401 0.753 0.877
Ac: 0.167 0.463 0.925
Ac: 0.167 0.463 0.537
Ac: 0.167 0.075 0.537
Ac: 0.667 0.537 0.075
Ac: 0.667 0.537 0.463
Ac: 0.667 0.925 0.463
In: 0.865 0.192 0.383
In: 0.865 0.192 0.808
In: 0.865 0.617 0.808
In: 0.365 0.808 0.617
In: 0.365 0.808 0.192
In: 0.365 0.383 0.192

---

(7)
The following is a GGA-PBE calculation of a relaxed structure of AcIn4, from Alexandria via LeMat-Bulk.

Calculated values
Symmetry   Pm-3m (221)
Energy above the most stable polymorph in this dataset   1042 meV/atom
N(E_F)   8.1 states/eV/f.u.

a b c (Å): 6.341 6.341 6.341
angles (deg): 90.00 90.00 90.00
Fractional positions:
Ac: 0.500 0.500 0.500
In: 0.000 0.000 0.000
In: 0.500 0.000 0.500
In: 0.000 0.500 0.500
In: 0.500 0.500 0.000

---

(8)
The following is a GGA-PBE calculation of a relaxed structure of AcInIr, from Alexandria via LeMat-Bulk.

Calculated values
Symmetry   F-43m (216)
Energy above the most stable polymorph in this dataset   166 meV/atom
N(E_F)   1.5 states/eV/f.u.

a b c (Å): 4.939 4.939 4.939
angles (deg): 60.00 60.00 60.00
Fractional positions:
Ac: 0.000 0.000 0.000
Ir: 0.250 0.250 0.250
In: 0.500 0.500 0.500

---

(9)
The following is a GGA-PBE calculation of a relaxed structure of Ac6InIr4, from Alexandria via LeMat-Bulk.

Calculated values
Symmetry   Cmcm (63)
N(E_F)   5.0 states/eV/f.u.

a b c (Å): 4.355 7.607 22.382
angles (deg): 90.00 90.00 106.63
Fractional positions:
Ac: 0.500 0.000 0.000
Ac: 0.500 0.000 0.500
Ac: 0.035 0.070 0.348
Ac: 0.965 0.930 0.652
Ac: 0.965 0.930 0.848
Ac: 0.035 0.070 0.152
Ac: 0.768 0.536 0.418
Ac: 0.232 0.464 0.582
Ac: 0.232 0.464 0.918
Ac: 0.768 0.536 0.082
Ac: 0.339 0.679 0.250
Ac: 0.661 0.321 0.750
In: 0.656 0.311 0.250
In: 0.344 0.689 0.750
Ir: 0.864 0.727 0.542
Ir: 0.401 0.801 0.128
Ir: 0.136 0.273 0.458
Ir: 0.599 0.199 0.872
Ir: 0.864 0.727 0.958
Ir: 0.136 0.273 0.042
Ir: 0.599 0.199 0.628
Ir: 0.401 0.801 0.372

---

(10)
The following is a GGA-PBE calculation of a relaxed structure of Ac3In7Ir2, from Alexandria via LeMat-Bulk.

Calculated values
Symmetry   Cmmm (65)
N(E_F)   5.9 states/eV/f.u.

a b c (Å): 4.781 4.892 14.779
angles (deg): 99.53 90.00 90.00
Fractional positions:
Ac: 0.500 0.500 0.000
Ac: 0.000 0.301 0.602
Ac: 0.000 0.699 0.398
In: 0.500 0.813 0.626
In: 0.500 0.187 0.374
In: 0.000 0.416 0.833
In: 0.000 0.000 0.000
In: 0.000 0.584 0.167
In: 0.500 0.085 0.170
In: 0.500 0.915 0.830
Ir: 0.500 0.369 0.738
Ir: 0.500 0.631 0.262

---

(11)
The following is a GGA-PBE calculation of a relaxed structure of Ac6In2Ir, from Alexandria via LeMat-Bulk.

Calculated values
Symmetry   Immm (71)
Energy above the most stable polymorph in this dataset   104 meV/atom
N(E_F)   8.3 states/eV/f.u.

a b c (Å): 9.537 9.537 9.537
angles (deg): 73.14 70.46 112.06
Fractional positions:
Ac: 0.162 0.777 0.062
Ac: 0.838 0.223 0.938
Ac: 0.162 0.223 0.615
Ac: 0.838 0.777 0.385
Ac: 0.472 0.288 0.816
Ac: 0.528 0.712 0.184
Ac: 0.103 0.288 0.184
Ac: 0.897 0.712 0.816
Ac: 0.332 0.055 0.277
Ac: 0.668 0.945 0.723
Ac: 0.332 0.609 0.723
Ac: 0.668 0.391 0.277
In: 0.132 0.632 0.500
In: 0.868 0.368 0.500
In: 0.366 0.000 0.634
In: 0.634 0.000 0.366
Ir: 0.500 0.500 0.000
Ir: 0.000 0.000 0.000

---

(12)
The following is a GGA-PBE calculation of a relaxed structure of AcIn3Ir3, from Alexandria via LeMat-Bulk.

Calculated values
Symmetry   Pm-3n (223)
N(E_F)   4.8 states/eV/f.u.

a b c (Å): 7.279 7.279 7.279
angles (deg): 90.00 90.00 90.00
Fractional positions:
Ac: 0.500 0.500 0.500
Ac: 0.000 0.000 0.000
Ir: 0.250 0.000 0.500
Ir: 0.000 0.500 0.250
Ir: 0.500 0.750 0.000
Ir: 0.750 0.000 0.500
Ir: 0.000 0.500 0.750
Ir: 0.500 0.250 0.000
In: 0.000 0.250 0.500
In: 0.000 0.750 0.500
In: 0.500 0.000 0.750
In: 0.750 0.500 0.000
In: 0.500 0.000 0.250
In: 0.250 0.500 0.000

---

(13)
The following is a GGA-PBE calculation of a relaxed structure of AcIn3Ir, from Alexandria via LeMat-Bulk.

Calculated values
Symmetry   Pnma (62)
Energy above the most stable polymorph in this dataset   0 meV/atom
N(E_F)   1.8 states/eV/f.u.

a b c (Å): 4.575 9.288 12.016
angles (deg): 90.00 90.00 90.00
Fractional positions:
Ac: 0.750 0.801 0.000
Ac: 0.250 0.699 0.500
Ac: 0.750 0.301 0.500
Ac: 0.250 0.199 0.000
In: 0.250 0.554 0.086
In: 0.750 0.446 0.914
In: 0.250 0.054 0.414
In: 0.750 0.946 0.586
In: 0.250 0.393 0.716
In: 0.750 0.107 0.216
In: 0.250 0.893 0.784
In: 0.750 0.644 0.712
In: 0.250 0.356 0.288
In: 0.750 0.144 0.788
In: 0.750 0.607 0.284
In: 0.250 0.856 0.212
Ir: 0.250 0.118 0.641
Ir: 0.250 0.618 0.859
Ir: 0.750 0.382 0.141
Ir: 0.750 0.882 0.359

---

(14)
The following is a GGA-PBE calculation of a relaxed structure of AcInIr, from Alexandria via LeMat-Bulk.

Calculated values
Symmetry   P3m1 (156)
Energy above the most stable polymorph in this dataset   175 meV/atom
N(E_F)   2.4 states/eV/f.u.

a b c (Å): 4.263 4.679 4.679
angles (deg): 120.00 90.00 90.00
Fractional positions:
Ac: 0.668 0.667 0.333
Ir: 0.164 0.000 0.000
In: 0.167 0.333 0.667

---

(15)
The following is a GGA-PBE calculation of a relaxed structure of Ac8In2Ir, from Alexandria via LeMat-Bulk.

Calculated values
Symmetry   C2/m (12)
N(E_F)   13.7 states/eV/f.u.

a b c (Å): 5.156 8.084 10.616
angles (deg): 94.76 104.05 90.00
Fractional positions:
Ac: 0.403 0.499 0.805
Ac: 0.640 0.009 0.280
Ac: 0.783 0.676 0.566
Ac: 0.995 0.223 0.991
Ac: 0.217 0.324 0.434
Ac: 0.360 0.991 0.720
Ac: 0.597 0.501 0.195
Ac: 0.005 0.777 0.009
In: 0.820 0.249 0.639
In: 0.180 0.751 0.361
Ir: 0.500 0.000 0.000

---

(16)
The following is a GGA-PBE calculation of a relaxed structure of AcInIr, from Alexandria via LeMat-Bulk.

Calculated values
Symmetry   Pnma (62)
Energy above the most stable polymorph in this dataset   0 meV/atom
N(E_F)   1.4 states/eV/f.u.

a b c (Å): 4.450 8.879 7.594
angles (deg): 90.00 90.00 90.00
Fractional positions:
Ac: 0.250 0.820 0.461
Ac: 0.750 0.320 0.039
Ac: 0.250 0.680 0.961
Ac: 0.750 0.180 0.539
In: 0.750 0.940 0.137
In: 0.750 0.560 0.637
In: 0.250 0.060 0.863
In: 0.250 0.440 0.363
Ir: 0.750 0.629 0.261
Ir: 0.750 0.871 0.761
Ir: 0.250 0.129 0.239
Ir: 0.250 0.371 0.739

---

(17)
The following is a GGA-PBE calculation of a relaxed structure of Ac8In2Ir3, from Alexandria via LeMat-Bulk.

Calculated values
Symmetry   C2/m (12)
Energy above the most stable polymorph in this dataset   63 meV/atom
N(E_F)   11.0 states/eV/f.u.

a b c (Å): 7.646 8.738 9.379
angles (deg): 117.76 106.29 90.00
Fractional positions:
Ac: 0.958 0.614 0.228
Ac: 0.042 0.386 0.772
Ac: 0.904 0.104 0.207
Ac: 0.096 0.896 0.793
Ac: 0.604 0.660 0.793
Ac: 0.604 0.133 0.793
Ac: 0.396 0.867 0.207
Ac: 0.396 0.340 0.207
In: 0.328 0.262 0.524
In: 0.672 0.738 0.476
Ir: 0.500 0.000 0.000
Ir: 0.000 0.252 0.000
Ir: 0.000 0.748 0.000

---

(18)
The following is a GGA-PBE calculation of a relaxed structure of AcInIr4, from Alexandria via LeMat-Bulk.

Calculated values
Symmetry   F-43m (216)
N(E_F)   9.5 states/eV/f.u.

a b c (Å): 5.459 5.459 5.459
angles (deg): 60.00 60.00 60.00
Fractional positions:
Ac: 0.250 0.250 0.250
Ir: 0.626 0.626 0.123
Ir: 0.626 0.123 0.626
Ir: 0.626 0.626 0.626
Ir: 0.123 0.626 0.626
In: 0.000 0.000 0.000

---

(19)
The following is a GGA-PBE calculation of a relaxed structure of Ac2In12Ir7, from Alexandria via LeMat-Bulk.

Calculated values
Symmetry   P-6 (174)
N(E_F)   12.1 states/eV/f.u.

a b c (Å): 4.258 11.111 11.111
angles (deg): 120.00 90.00 90.00
Fractional positions:
Ac: 0.500 0.000 0.000
Ac: 0.000 0.667 0.333
In: 0.500 0.913 0.617
In: 0.500 0.705 0.087
In: 0.500 0.383 0.295
In: 0.500 0.247 0.798
In: 0.500 0.551 0.753
In: 0.500 0.202 0.449
In: 0.000 0.052 0.534
In: 0.000 0.482 0.948
In: 0.000 0.466 0.518
In: 0.000 0.791 0.726
In: 0.000 0.935 0.209
In: 0.000 0.274 0.065
Ir: 0.000 0.333 0.667
Ir: 0.000 0.072 0.793
Ir: 0.000 0.720 0.928
Ir: 0.000 0.207 0.280
Ir: 0.500 0.640 0.552
Ir: 0.500 0.912 0.360
Ir: 0.500 0.448 0.088

---

(20)
The following is a GGA-PBE calculation of a relaxed structure of Ac2In3Ir, from Alexandria via LeMat-Bulk.

Calculated values
Symmetry   Pmm2 (25)
N(E_F)   4.5 states/eV/f.u.

a b c (Å): 4.183 4.912 8.581
angles (deg): 90.00 90.00 90.00
Fractional positions:
Ac: 0.000 0.500 0.048
Ac: 0.000 0.000 0.476
In: 0.500 0.000 0.832
In: 0.500 0.000 0.173
In: 0.500 0.500 0.650
Ir: 0.500 0.500 0.322

---

| no. | magnetization (μB per cell) | energy of formation (eV/f.u.) |
| --- | --- | --- |
| 1 | 0.000 | -4.7 |
| 2 | 0.000 | -0.6 |
| 3 | 0.000 | 0.9 |
| 4 | 0.000 | -2.5 |
| 5 | 0.000 | -2.0 |
| 6 | 0.000 | -2.2 |
| 7 | 0.000 | 3.6 |
| 8 | 0.000 | -1.3 |
| 9 | 0.000 | -6.1 |
| 10 | 0.000 | -4.3 |
| 11 | 0.000 | -2.2 |
| 12 | 0.000 | 2.3 |
| 13 | 0.000 | -2.1 |
| 14 | 0.000 | -1.3 |
| 15 | 0.000 | -2.9 |
| 16 | 0.000 | -1.8 |
| 17 | 0.000 | -5.7 |
| 18 | 0.000 | -1.2 |
| 19 | 0.000 | -6.0 |
| 20 | 0.000 | -2.8 |